Record 1
Here is a relaxed Tb3Sm2DyTe6 crystal from the Alexandria database. Energies are from GGA-PBE.

## Properties
- E: -125.5 eV for the cell shown
- Fermi-level density of states: 12.92 states/eV/cell

CIF file:
```
data_Tb3Sm2DyTe6
_chemical_formula_sum 'Tb6 Sm4 Dy2 Te12'
_symmetry_space_group_name_H-M 'C 1 2/m 1'
_symmetry_Int_Tables_number 12
_symmetry_space_group_name_Hall '-C 2y'
_cell_length_a 19.143
_cell_length_b 4.370
_cell_length_c 8.834
_cell_angle_alpha 90.00
_cell_angle_beta 103.21
_cell_angle_gamma 90.00
loop_
_atom_site_label
_atom_site_fract_x
_atom_site_fract_y
_atom_site_fract_z
_atom_site_occupancy
Tb1 0.000 0.000 0.000 1
Tb2 0.170 0.500 0.334 1
Sm1 0.169 0.500 0.836 1
Dy1 0.000 0.000 0.500 1
Te1 0.002 0.500 0.252 1
Te2 0.164 0.000 0.087 1
Te3 0.165 0.000 0.578 1
```

Record 2
Here is a relaxed TbSm2DyTe6 crystal from the Alexandria database. Energies are from GGA-PBE.

## Properties
- E: -153.7 eV for the cell shown

CIF file:
```
data_TbSm2DyTe6
_chemical_formula_sum 'Tb3 Sm6 Dy3 Te18'
_symmetry_space_group_name_H-M 'R 3'
_symmetry_Int_Tables_number 146
_symmetry_space_group_name_Hall 'R 3'
_cell_length_a 7.7870
_cell_length_b 7.7870
_cell_length_c 21.2435
_cell_angle_alpha 90.00
_cell_angle_beta 90.00
_cell_angle_gamma 120.00
loop_
_atom_site_label
_atom_site_fract_x
_atom_site_fract_y
_atom_site_fract_z
_atom_site_occupancy
Tb1 0.0000 0.0000 0.0000 1
Sm1 0.0000 0.0000 0.3118 1
Sm2 0.0000 0.0000 0.8121 1
Dy1 0.0000 0.0000 0.4997 1
Te1 0.0265 0.3494 0.5746 1
Te2 0.0267 0.6755 0.0748 1
```

Record 3
Here is a relaxed TbSm3Dy3Te8 crystal from the Alexandria database. Energies are from GGA-PBE.

## Properties
- E: -236.1 eV for the cell shown
- Fermi-level density of states: 20.73 states/eV/cell

CIF file:
```
data_TbSm3Dy3Te8
_chemical_formula_sum 'Tb3 Sm9 Dy9 Te24'
_symmetry_space_group_name_H-M 'R -3 m'
_symmetry_Int_Tables_number 166
_symmetry_space_group_name_Hall '-R 3 2"'
_cell_length_a 8.7538
_cell_length_b 8.7538
_cell_length_c 21.5088
_cell_angle_alpha 90.00
_cell_angle_beta 90.00
_cell_angle_gamma 120.00
loop_
_atom_site_label
_atom_site_fract_x
_atom_site_fract_y
_atom_site_fract_z
_atom_site_occupancy
Tb1 0.0000 0.0000 0.0000 1
Sm1 0.0000 0.5000 0.5000 1
Dy1 0.0000 0.5000 0.0000 1
Te1 0.0000 0.0000 0.2524 1
Te2 0.0092 0.5046 0.2501 1
```

Record 4
Here is a relaxed Tb2Sm5DyTh crystal from the Alexandria database. Energies are from GGA-PBE.

## Properties
- Energy of formation: 0.16 eV per atom
- E: -173.9 eV for the cell shown
- Fermi-level density of states: 55.96 states/eV/cell

CIF file:
```
data_Tb2Sm5DyTh
_chemical_formula_sum 'Tb8 Sm20 Dy4 Th4'
_symmetry_space_group_name_H-M 'C m c 21'
_symmetry_Int_Tables_number 36
_symmetry_space_group_name_Hall 'C 2c -2'
_cell_length_a 5.655
_cell_length_b 20.413
_cell_length_c 10.529
_cell_angle_alpha 90.00
_cell_angle_beta 90.00
_cell_angle_gamma 90.00
loop_
_atom_site_label
_atom_site_fract_x
_atom_site_fract_y
_atom_site_fract_z
_atom_site_occupancy
Tb1 0.000 0.113 0.000 1
Tb2 0.000 0.115 0.580 1
Sm1 0.000 0.015 0.285 1
Sm2 0.000 0.276 0.579 1
Sm3 0.000 0.295 0.970 1
Sm4 0.000 0.387 0.291 1
Sm5 0.000 0.480 0.008 1
Dy1 0.000 0.407 0.720 1
Th1 0.000 0.199 0.278 1
```